(1)
Entry from Alexandria: a relaxed structure of Tm3ScAg3Te8 (GGA-PBE).

a = 8.5831 Å, b = 8.5841 Å, c = 8.6436 Å
α = 119.92°, β = 90.00°, γ = 120.00°
With the nearest neighbours (Å) after each atom.
Fractional coordinates of all 15 atoms:
Tm1 0.5000 0.0000 0.5000  6 Te 3.05
Tm2 0.5000 0.5000 0.5000  6 Te 3.05
Tm3 0.0000 0.5000 0.5000  6 Te 3.05
Sc1 0.0000 0.0000 0.5000  6 Te 2.97
Ag1 0.0000 0.0000 0.0000  6 Te 3.03-3.04
Ag2 0.0000 0.5000 0.0000  6 Te 3.03-3.04
Ag3 0.5000 0.5000 0.0000  6 Te 3.03-3.04
Te1 0.2492 0.4984 0.2485  3 Ag 3.03-3.04, 3 Tm 3.05
Te2 0.7508 0.5016 0.7515  3 Ag 3.03-3.04, 3 Tm 3.05
Te3 0.7554 0.5108 0.2549  1 Sc 2.97, 2 Ag 3.04, 2 Tm 3.05
Te4 0.2446 0.4892 0.7451  1 Sc 2.97, 2 Ag 3.04, 2 Tm 3.05
Te5 0.7554 0.9984 0.2548  1 Sc 2.97, 2 Ag 3.03-3.04, 2 Tm 3.05
Te6 0.2446 0.0016 0.7452  1 Sc 2.97, 2 Ag 3.03-3.04, 2 Tm 3.05
Te7 0.2429 0.9984 0.2548  1 Sc 2.97, 2 Ag 3.03-3.04, 2 Tm 3.05
Te8 0.7571 0.0016 0.7452  1 Sc 2.97, 2 Ag 3.03-3.04, 2 Tm 3.05

Values from the calculation:
calculated total energy = -4.40 eV/atom
formation energy (no corrections) = -0.8352 eV per atom
calculated volume = 30.06 A^3/atom
space-group type = C2/m
density of states at the Fermi level = 4.09 states/eV per cell

***

(2)
Entry from Alexandria: a relaxed structure of Sc2UAg3Te6 (GGA-PBE).

a = 7.4398 Å, b = 7.4398 Å, c = 7.3959 Å
α = 99.40°, β = 99.40°, γ = 120.04°
With the nearest neighbours (Å) after each atom.
Fractional coordinates of all 12 atoms:
Sc1 0.3315 0.6685 0.0000  6 Te 2.96-2.99
Sc2 0.6685 0.3315 0.0000  6 Te 2.96-2.99
U1 0.0000 0.0000 0.0000  6 Te 3.11-3.12
Ag1 0.1565 0.8435 0.5000  6 Te 3.02-3.07
Ag2 0.8435 0.1565 0.5000  6 Te 3.02-3.07
Ag3 0.5000 0.5000 0.5000  6 Te 2.93-3.10
Te1 0.9195 0.5710 0.7526  2 Sc 2.96-2.98, 3 Ag 3.06-3.10, 1 U 3.12
Te2 0.7312 0.7312 0.2457  3 Ag 2.93-3.02, 2 Sc 2.99, 1 U 3.11
Te3 0.0805 0.4290 0.2474  2 Sc 2.96-2.98, 3 Ag 3.06-3.10, 1 U 3.12
Te4 0.5710 0.9195 0.7526  2 Sc 2.96-2.98, 3 Ag 3.06-3.10, 1 U 3.12
Te5 0.2688 0.2688 0.7543  3 Ag 2.93-3.02, 2 Sc 2.99, 1 U 3.11
Te6 0.4290 0.0805 0.2474  2 Sc 2.96-2.98, 3 Ag 3.06-3.10, 1 U 3.12

Values from the calculation:
calculated total energy = -4.85 eV/atom
formation energy (no corrections) = -0.5681 eV per atom
calculated volume = 27.91 A^3/atom
space-group type = C2/m
density of states at the Fermi level = 10.92 states/eV per cell

***

(3)
Entry from Alexandria: a relaxed structure of Sc3UAg3Te8 (GGA-PBE).

a = 8.4839 Å, b = 8.4839 Å, c = 8.5092 Å
α = 120.00°, β = 90.00°, γ = 120.00°
With the nearest neighbours (Å) after each atom.
Fractional coordinates of all 15 atoms:
Sc1 0.5000 0.0000 0.5000  6 Te 2.95-2.97
Sc2 0.5000 0.5000 0.5000  6 Te 2.95-2.97
Sc3 0.0000 0.5000 0.5000  6 Te 2.95-2.97
U1 0.0000 0.0000 0.5000  6 Te 3.07
Ag1 0.0000 0.0000 0.0000  6 Te 3.03-3.06
Ag2 0.0000 0.5000 0.0000  6 Te 3.04-3.06
Ag3 0.5000 0.5000 0.0000  6 Te 3.04-3.06
Te1 0.2524 0.5049 0.2581  3 Sc 2.97, 3 Ag 3.03-3.04
Te2 0.7476 0.4951 0.7419  3 Sc 2.97, 3 Ag 3.03-3.04
Te3 0.7442 0.4885 0.2536  2 Sc 2.95, 2 Ag 3.06, 1 U 3.07
Te4 0.2558 0.5115 0.7464  2 Sc 2.95, 2 Ag 3.06, 1 U 3.07
Te5 0.7442 0.0086 0.2535  2 Sc 2.95, 2 Ag 3.05-3.06, 1 U 3.07
Te6 0.2558 0.9914 0.7465  2 Sc 2.95, 2 Ag 3.05-3.06, 1 U 3.07
Te7 0.2644 0.0086 0.2535  2 Sc 2.95, 2 Ag 3.05-3.06, 1 U 3.07
Te8 0.7356 0.9914 0.7465  2 Sc 2.95, 2 Ag 3.05-3.06, 1 U 3.07

Values from the calculation:
calculated total energy = -4.96 eV/atom
formation energy (no corrections) = -0.6913 eV per atom
calculated volume = 28.87 A^3/atom
space-group type = C2/m
density of states at the Fermi level = 5.53 states/eV per cell

***

(4)
Entry from Alexandria: a relaxed structure of ScV2AgTe (GGA-PBE).

a = 4.5277 Å, b = 5.2368 Å, c = 4.5277 Å
α = 90.00°, β = 90.00°, γ = 90.00°
With the nearest neighbours (Å) after each atom.
Fractional coordinates of all 5 atoms:
Sc1 0.0000 0.0000 0.0000  4 V 2.26
Te1 0.5000 0.5000 0.5000  4 Ag 3.20, 8 V 3.46
Ag1 0.0000 0.5000 0.0000  2 Sc 2.62
V1 0.0000 0.0000 0.5000  2 Sc 2.26
V2 0.5000 0.0000 0.0000  2 Sc 2.26

Values from the calculation:
calculated total energy = -4.74 eV/atom
formation energy (no corrections) = 1.3745 eV per atom
calculated volume = 21.47 A^3/atom
space-group type = P4/mmm
density of states at the Fermi level = 4.85 states/eV per cell